A plane-wave DFT calculation with PBEsol was carried out for CdIn2Te after structural relaxation.

a b c (Å): 6.594 9.968 3.181
angles (deg): 90.00 90.00 90.00
Space group Cmmm (No. 65)
Unique sites:
Cd1 0.000 0.000 0.000 [2 per cell]
In1 0.250 0.250 0.500 [4 per cell]
Te1 0.000 0.500 0.000 [2 per cell]

- E above lowest polymorph: 41 meV per atom
- Total energy: -21.4 eV per cell
- DOS(E_F): 2.75 states/eV per cell
- Energy relative to the elements, uncorrected: 0.002 eV per atom

A plane-wave DFT calculation with PBEsol was carried out for TaTiO4 after structural relaxation.

a b c (Å): 6.624 6.752 2.980
angles (deg): 90.00 90.00 90.00
Space group Cmmm (No. 65)
Unique sites:
Ta1 0.000 0.000 0.000 [2 per cell]
Ti1 0.000 0.500 0.500 [2 per cell]
O1 0.000 0.202 0.500 [4 per cell]
O2 0.199 0.500 0.000 [4 per cell]

- Total energy: -118.2 eV per cell
- DOS(E_F): 6.20 states/eV per cell
- Energy relative to the elements, uncorrected: -2.873 eV per atom

A plane-wave DFT calculation with PBEsol was carried out for AlAg7 after structural relaxation.

a b c (Å): 4.941 4.949 5.668
angles (deg): 106.61 90.16 99.30
Space group P-1 (No. 2)
Unique sites:
Al1 0.000 0.000 0.000 [1 per cell]
Ag1 0.000 0.000 0.500 [1 per cell]
Ag2 0.244 0.498 0.875 [2 per cell]
Ag3 0.250 0.491 0.371 [2 per cell]
Ag4 0.499 0.002 0.753 [2 per cell]

- E above lowest polymorph: 3 meV per atom
- Total energy: -27.7 eV per cell
- DOS(E_F): 2.31 states/eV per cell
- Formation energy from the elements: -0.0481 eV per atom

A plane-wave DFT calculation with PBEsol was carried out for SrCrRh2Au after structural relaxation.

a b c (Å): 4.388 4.388 5.263
angles (deg): 90.00 90.00 90.00
Space group P4/mmm (No. 123)
Unique sites:
Sr1 0.000 0.000 0.000 [1 per cell]
Cr1 0.000 0.000 0.500 [1 per cell]
Rh1 0.000 0.500 0.500 [2 per cell]
Au1 0.500 0.500 0.000 [1 per cell]

- Total energy: -28.2 eV per cell
- DOS(E_F): 5.19 states/eV per cell
- Formation energy from the elements: 0.8079 eV per atom

A plane-wave DFT calculation with PBEsol was carried out for ZnHgAs2 after structural relaxation.

a b c (Å): 3.076 3.555 7.625
angles (deg): 90.00 90.00 90.00
Space group Pmmm (No. 47)
Unique sites:
Zn1 0.000 0.000 0.000 [1 per cell]
Hg1 0.000 0.000 0.500 [1 per cell]
As1 0.500 0.500 0.171 [2 per cell]

- E above lowest polymorph: 136 meV per atom
- Total energy: -11.5 eV per cell
- DOS(E_F): 1.24 states/eV per cell
- Formation energy from the elements: 0.2136 eV per atom

A plane-wave DFT calculation with PBEsol was carried out for NaSiGeRh2 after structural relaxation.

a b c (Å): 4.500 4.500 4.443
angles (deg): 90.00 90.00 90.00
Space group P4/mmm (No. 123)
Unique sites:
Na1 0.000 0.000 0.000 [1 per cell]
Si1 0.500 0.500 0.500 [1 per cell]
Ge1 0.000 0.000 0.500 [1 per cell]
Rh1 0.000 0.500 0.000 [2 per cell]

- Total energy: -20.1 eV per cell
- DOS(E_F): 4.98 states/eV per cell
- Energy relative to the elements, uncorrected: 1.656 eV per atom

A plane-wave DFT calculation with PBEsol was carried out for Ba6Gd2Al4O15 after structural relaxation.

a b c (Å): 7.870 5.915 18.356
angles (deg): 90.00 91.54 90.00
Space group P2/c (No. 13)
Unique sites:
Ba1 0.000 0.173 0.250 [2 per cell]
Ba2 0.002 0.255 0.918 [4 per cell]
Ba3 0.471 0.248 0.910 [4 per cell]
Ba4 0.500 0.224 0.250 [2 per cell]
Gd1 0.253 0.249 0.090 [4 per cell]
Al1 0.253 0.247 0.442 [4 per cell]
Al2 0.278 0.271 0.733 [4 per cell]
O1 0.040 0.255 0.407 [4 per cell]
O2 0.194 0.174 0.814 [4 per cell]
O3 0.226 0.468 0.192 [4 per cell]
O4 0.254 0.055 0.666 [4 per cell]
O5 0.265 0.003 0.997 [4 per cell]
O6 0.265 0.482 0.504 [4 per cell]
O7 0.444 0.264 0.392 [4 per cell]
O8 0.500 0.295 0.750 [2 per cell]

- Total energy: -437.5 eV per cell
- DOS(E_F): 0.00 states/eV per cell
- Energy relative to the elements, uncorrected: -3.031 eV per atom

A plane-wave DFT calculation with PBEsol was carried out for AsHPdBr2 after structural relaxation.

a b c (Å): 4.949 4.949 3.445
angles (deg): 90.00 90.00 90.00
Space group P4/mmm (No. 123)
Unique sites:
As1 0.000 0.000 0.000 [1 per cell]
H1 0.000 0.000 0.500 [1 per cell]
Pd1 0.500 0.500 0.000 [1 per cell]
Br1 0.000 0.500 0.500 [2 per cell]

- E above lowest polymorph: 0 meV per atom
- Total energy: -15.7 eV per cell
- DOS(E_F): 3.91 states/eV per cell

A plane-wave DFT calculation with PBEsol was carried out for Si2BiO6 after structural relaxation.

a b c (Å): 10.112 9.454 5.409
angles (deg): 90.00 109.47 90.00
Space group C2/c (No. 15)
Unique sites:
Si1 0.203 0.077 0.228 [8 per cell]
Bi1 0.000 0.370 0.250 [4 per cell]
O1 0.123 0.438 0.661 [8 per cell]
O2 0.146 0.014 0.457 [8 per cell]
O3 0.160 0.242 0.180 [8 per cell]

- Total energy: -265.4 eV per cell
- DOS(E_F): 7.39 states/eV per cell
- Energy relative to the elements, uncorrected: -2.121 eV per atom

A plane-wave DFT calculation with PBEsol was carried out for NbCNO2 after structural relaxation.

a b c (Å): 3.378 3.378 3.460
angles (deg): 90.00 90.00 90.00
Space group P4/mmm (No. 123)
Unique sites:
Nb1 0.000 0.000 0.000 [1 per cell]
C1 0.500 0.500 0.500 [1 per cell]
N1 0.500 0.500 0.000 [1 per cell]
O1 0.000 0.500 0.500 [2 per cell]

- Total energy: -37.6 eV per cell
- DOS(E_F): 2.78 states/eV per cell
- Energy relative to the elements, uncorrected: 0.380 eV per atom

A plane-wave DFT calculation with PBEsol was carried out for RbNaCaThSi8O20 after structural relaxation.

a b c (Å): 7.605 7.605 14.737
angles (deg): 90.00 90.00 90.00
Space group P-42c (No. 112)
Unique sites:
Rb1 0.000 0.000 0.000 [2 per cell]
Na1 0.000 0.500 0.250 [2 per cell]
Ca1 0.000 0.500 0.750 [2 per cell]
Th1 0.000 0.000 0.250 [2 per cell]
Si1 0.258 0.334 0.391 [8 per cell]
Si2 0.264 0.338 0.611 [8 per cell]
O1 0.099 0.238 0.341 [8 per cell]
O2 0.106 0.254 0.667 [8 per cell]
O3 0.240 0.317 0.501 [8 per cell]
O4 0.253 0.451 0.862 [8 per cell]
O5 0.259 0.457 0.138 [8 per cell]

- Total energy: -512.7 eV per cell
- DOS(E_F): 0.00 states/eV per cell
- Energy relative to the elements, uncorrected: -2.898 eV per atom

A plane-wave DFT calculation with PBEsol was carried out for Y2CdTc after structural relaxation.

a b c (Å): 3.462 3.462 7.418
angles (deg): 90.00 90.00 90.00
Space group P4/mmm (No. 123)
Unique sites:
Y1 0.000 0.000 0.216 [2 per cell]
Cd1 0.500 0.500 0.500 [1 per cell]
Tc1 0.500 0.500 0.000 [1 per cell]

- Total energy: -26.7 eV per cell
- DOS(E_F): 4.10 states/eV per cell
- Formation energy from the elements: -0.1530 eV per atom

A plane-wave DFT calculation with PBEsol was carried out for LiTc2Sb after structural relaxation.

a b c (Å): 3.436 4.077 4.279
angles (deg): 90.00 90.00 90.00
Space group Pmmm (No. 47)
Unique sites:
Li1 0.000 0.000 0.000 [1 per cell]
Tc1 0.000 0.500 0.500 [1 per cell]
Tc2 0.500 0.000 0.500 [1 per cell]
Sb1 0.500 0.500 0.000 [1 per cell]

- Total energy: -28.0 eV per cell
- DOS(E_F): 3.82 states/eV per cell
- Energy relative to the elements, uncorrected: 0.276 eV per atom

A plane-wave DFT calculation with PBEsol was carried out for BH2W2 after structural relaxation.

a b c (Å): 3.829 3.829 5.967
angles (deg): 90.00 90.00 90.00
Space group I4/mmm (No. 139)
Unique sites:
B1 0.000 0.000 0.000 [2 per cell]
H1 0.000 0.000 0.355 [4 per cell]
W1 0.000 0.500 0.250 [4 per cell]

- Total energy: -77.7 eV per cell
- DOS(E_F): 6.30 states/eV per cell

A plane-wave DFT calculation with PBEsol was carried out for TlCrSbTe2 after structural relaxation.

a b c (Å): 5.287 5.287 5.029
angles (deg): 90.00 90.00 90.00
Space group P4/mmm (No. 123)
Unique sites:
Tl1 0.000 0.000 0.000 [1 per cell]
Cr1 0.500 0.500 0.500 [1 per cell]
Sb1 0.500 0.500 0.000 [1 per cell]
Te1 0.000 0.500 0.500 [2 per cell]

- E above lowest polymorph: 0 meV per atom
- Total energy: -23.3 eV per cell
- DOS(E_F): 5.05 states/eV per cell
- Energy relative to the elements, uncorrected: 0.235 eV per atom

A plane-wave DFT calculation with PBEsol was carried out for Li2YSb after structural relaxation.

a b c (Å): 4.315 4.315 4.753
angles (deg): 90.00 90.00 90.00
Space group P4/mmm (No. 123)
Unique sites:
Li1 0.000 0.500 0.000 [2 per cell]
Y1 0.000 0.000 0.500 [1 per cell]
Sb1 0.500 0.500 0.500 [1 per cell]

- Total energy: -17.7 eV per cell
- DOS(E_F): 1.25 states/eV per cell
- Energy relative to the elements, uncorrected: -0.586 eV per atom

A plane-wave DFT calculation with PBEsol was carried out for CsHgAs2Pt after structural relaxation.

a b c (Å): 5.216 5.216 5.224
angles (deg): 90.00 90.00 90.00
Space group P4/mmm (No. 123)
Unique sites:
Cs1 0.000 0.000 0.000 [1 per cell]
Hg1 0.500 0.500 0.500 [1 per cell]
As1 0.000 0.500 0.500 [2 per cell]
Pt1 0.500 0.500 0.000 [1 per cell]

- Total energy: -15.3 eV per cell
- DOS(E_F): 5.22 states/eV per cell
- Formation energy from the elements: 0.6730 eV per atom

A plane-wave DFT calculation with PBEsol was carried out for V3MoH after structural relaxation.

a b c (Å): 3.852 3.852 3.852
angles (deg): 90.00 90.00 90.00
Space group Pm-3m (No. 221)
Unique sites:
V1 0.000 0.000 0.500 [3 per cell]
Mo1 0.500 0.500 0.500 [1 per cell]
H1 0.000 0.000 0.000 [1 per cell]

- Total energy: -43.4 eV per cell
- DOS(E_F): 6.35 states/eV per cell

A plane-wave DFT calculation with PBEsol was carried out for TaSiTe2Cl after structural relaxation.

a b c (Å): 5.108 5.108 4.479
angles (deg): 90.00 90.00 90.00
Space group P4/mmm (No. 123)
Unique sites:
Ta1 0.000 0.000 0.000 [1 per cell]
Si1 0.500 0.500 0.000 [1 per cell]
Te1 0.000 0.500 0.500 [2 per cell]
Cl1 0.500 0.500 0.500 [1 per cell]

- Total energy: -20.8 eV per cell
- DOS(E_F): 4.11 states/eV per cell
- Energy relative to the elements, uncorrected: 1.314 eV per atom

A plane-wave DFT calculation with PBEsol was carried out for TlSiHgRu2 after structural relaxation.

a b c (Å): 4.990 4.990 5.137
angles (deg): 90.00 90.00 90.00
Space group P4/mmm (No. 123)
Unique sites:
Tl1 0.000 0.000 0.000 [1 per cell]
Si1 0.500 0.500 0.000 [1 per cell]
Hg1 0.000 0.000 0.500 [1 per cell]
Ru1 0.000 0.500 0.500 [2 per cell]

- Total energy: -18.2 eV per cell
- DOS(E_F): 8.99 states/eV per cell
- Energy relative to the elements, uncorrected: 2.209 eV per atom